VASP calculation (PBE+U) on an optimized crystal structure of MgFeTe2O6.

The space group is C2/c (No. 15) and the conventional cell measures 12.6715, 8.3268 and 5.7646 Å, with angles of 90.00, 112.72 and 90.00 degrees. The inequivalent atoms are Mg at (0.0000, 0.2448, 0.2500), Fe at (0.0000, 0.3851, 0.7500), Te at (0.2365, 0.1354, 0.7610), O at (0.0738, 0.1978, 0.6116), O at (0.0959, 0.4201, 0.1702) and O at (0.2005, 0.0758, 0.3880).

For the calculated total energy, the calculation gives -56.35 eV per formula unit. Its volume is 140.3 Å³/f.u.